DFT (PBE-GGA) results for an optimized crystal structure of Ca4SiAg.

Properties
Electronic total energy   -13.2 eV/cell
Crystal system   cubic

Unit cell a=6.461 b=6.461 c=6.461 alpha=60.00 beta=60.00 gamma=60.00
Fractional coordinates of all 6 atoms:
1 Ca 0.124 0.124 0.124
2 Ca 0.124 0.124 0.627
3 Ca 0.124 0.627 0.124
4 Ca 0.627 0.124 0.124
5 Si 0.750 0.750 0.750
6 Ag 0.500 0.500 0.500

=====

DFT (PBE-GGA) results for an optimized crystal structure of Cs2AcSn2Se6.

Properties
Electronic total energy   -44.7 eV/cell
Crystal system   monoclinic

Unit cell a=7.447 b=7.447 c=9.812 alpha=106.34 beta=106.34 gamma=64.22
Fractional coordinates of all 11 atoms:
1 Cs 0.188 0.188 0.127
2 Cs 0.812 0.812 0.873
3 Ac 0.000 0.000 0.500
4 Sn 0.463 0.463 0.628
5 Sn 0.537 0.537 0.372
6 Se 0.191 0.722 0.229
7 Se 0.249 0.249 0.512
8 Se 0.278 0.809 0.771
9 Se 0.722 0.191 0.229
10 Se 0.751 0.751 0.488
11 Se 0.809 0.278 0.771

=====

DFT (PBE-GGA) results for an optimized crystal structure of CsIn2Sn2.

Properties
Crystal system   tetragonal
Calculated formation energy   -0.17 eV/atom

Unit cell a=5.318 b=5.318 c=12.000 alpha=90.00 beta=90.00 gamma=90.00
Fractional coordinates of all 10 atoms:
1 Cs 0.250 0.250 0.249
2 Cs 0.750 0.750 0.751
3 In 0.250 0.250 0.626
4 In 0.250 0.750 0.000
5 In 0.750 0.250 0.000
6 In 0.750 0.750 0.374
7 Sn 0.250 0.250 0.874
8 Sn 0.250 0.750 0.500
9 Sn 0.750 0.250 0.500
10 Sn 0.750 0.750 0.126

=====

DFT (PBE-GGA) results for an optimized crystal structure of TaNbHPt2.

Properties
Electronic total energy   -39.1 eV/cell
Crystal system   tetragonal

Unit cell a=3.979 b=3.979 c=4.317 alpha=90.00 beta=90.00 gamma=90.00
Fractional coordinates of all 5 atoms:
1 Ta 0.000 0.000 0.000
2 Nb 0.500 0.500 0.000
3 H 0.500 0.500 0.500
4 Pt 0.000 0.500 0.500
5 Pt 0.500 0.000 0.500

=====

DFT (PBE-GGA) results for an optimized crystal structure of KLi2Cu.

Properties
Crystal system   cubic
Calculated formation energy   0.36 eV/atom

Unit cell a=5.258 b=5.258 c=5.258 alpha=60.00 beta=60.00 gamma=60.00
Fractional coordinates of all 4 atoms:
1 K 0.000 0.000 0.000
2 Li 0.250 0.250 0.250
3 Li 0.500 0.500 0.500
4 Cu 0.750 0.750 0.750

=====

DFT (PBE-GGA) results for an optimized crystal structure of FeNi3Au.

Properties
Crystal system   cubic
Calculated formation energy   0.93 eV/atom

Unit cell a=4.275 b=4.275 c=4.275 alpha=90.00 beta=90.00 gamma=90.00
Fractional coordinates of all 5 atoms:
1 Fe 0.000 0.000 0.000
2 Ni 0.000 0.000 0.500
3 Ni 0.000 0.500 0.000
4 Ni 0.500 0.000 0.000
5 Au 0.500 0.500 0.500

=====

| no. | Fermi-level density of states (states/eV/atom) | total magnetization (Bohr magnetons per cell) |
| --- | --- | --- |
| 1 | 0.9822 | 0.01 |
| 2 | 0.5831 | 0.42 |
| 3 | 0.2063 | 0.00 |
| 4 | 0.4901 | 0.00 |
| 5 | 0.6955 | 0.00 |
| 6 | 0.6689 | 4.83 |